[1]
{"formula": "RbSr3Rh", "functional": "GGA-PBEsol", "state": "relaxed", "relative_energy_mev_per_atom": 0, "lattice_angstrom": [[-3.785, -2.213, 0.394], [3.006, -4.967, 0.983], [-0.076, 1.707, 8.862]], "species": ["Sr", "Rh", "Rb", "Sr", "Sr"], "frac_coords": [[0.500, 0.000, 0.211], [0.000, 0.000, 0.000], [0.000, 0.500, 0.500], [0.000, 0.500, 0.000], [0.500, 0.000, 0.789]]}

***

[2]
{"formula": "RbSr2Rh", "functional": "GGA-PBEsol", "state": "relaxed", "total_energy_ev_per_cell": -11.6, "lattice_angstrom": [[5.594, 0.000, 0.000], [2.797, 4.844, 0.000], [2.797, 1.615, 4.567]], "species": ["Rb", "Rh", "Sr", "Sr"], "frac_coords": [[0.000, 0.000, 0.000], [0.500, 0.500, 0.500], [0.750, 0.750, 0.750], [0.250, 0.250, 0.250]]}

***

[3]
{"formula": "RbTa3Rh", "functional": "GGA-PBEsol", "state": "relaxed", "total_energy_ev_per_cell": -39.2, "lattice_angstrom": [[-4.509, -0.160, 1.960], [-1.333, -3.356, -3.340], [1.445, -3.593, 3.033]], "species": ["Ta", "Rb", "Rh", "Ta", "Ta"], "frac_coords": [[0.000, 0.000, 0.500], [0.500, 0.500, 0.500], [0.000, 0.000, 0.000], [0.500, 0.000, 0.000], [0.000, 0.500, 0.000]]}

***

[4]
{"formula": "RbTaRh3", "functional": "GGA-PBEsol", "state": "relaxed", "relative_energy_mev_per_atom": 0, "lattice_angstrom": [[4.796, 0.000, 0.000], [0.000, 4.796, 0.000], [0.000, 0.000, 4.796]], "species": ["Rh", "Rb", "Rh", "Rh", "Ta"], "frac_coords": [[0.500, 0.000, 0.000], [0.500, 0.500, 0.500], [0.000, 0.500, 0.000], [0.000, 0.000, 0.500], [0.000, 0.000, 0.000]]}

***

So what do the calculations give for calculated density? Going down the list: 3203, 4878, 10199, 8660 kg/m³.
So what do the calculations give for N(E_F)? Going down the list: 4.70, 1.07, 7.36, 4.57 states/eV/cell.